This record from the Alexandria database describes a relaxed structure of DyPaMnC3. The functional is PBE.

Energy of formation from the pure elements = -0.166 eV per atom
M_tot = 0.0 μB per formula unit

Cell: 7.256 3.509 7.281 Å, 90.00 93.42 90.00°
Space group P2_1/m (No. 11)
Asymmetric unit:
Dy (0.176, 0.250, 0.151) x2
Pa (0.184, 0.250, 0.629) x2
Mn (0.413, 0.750, 0.910) x2
C (0.136, 0.750, 0.404) x2
C (0.162, 0.750, 0.874) x2
C (0.487, 0.250, 0.845) x2

---

This record from the Alexandria database describes a relaxed structure of As2PtW. The functional is PBE.

Energy of formation from the pure elements = 0.178 eV per atom
M_tot = 0.0 μB per formula unit

Cell: 8.428 3.108 5.151 Å, 90.00 96.38 90.00°
Space group C2/m (No. 12)
Asymmetric unit:
As (0.226, 0.000, 0.219) x4
Pt (0.000, 0.000, 0.500) x2
W (0.000, 0.500, 0.000) x2